1.
{
  "formula": "MgOsIO2",
  "functional": "GGA-PBE",
  "state": "relaxed",
  "raw_formation_energy_ev_per_atom": -0.4126,
  "final_energy_ev_per_atom": -5.271,
  "cell": [[-2.846, 1.512, -2.079], [-0.202, -3.223, -2.068], [-5.187, -2.885, 5.001]],
  "species": ["Mg", "O", "O", "Os", "I"],
  "frac_coords": [[0.500, 0.500, 0.500], [0.500, 0.000, 0.000], [0.000, 0.500, 0.000], [0.000, 0.000, 0.000], [0.000, 0.000, 0.500]]
}

=====

2.
{
  "formula": "MgOsI2O",
  "functional": "GGA-PBE",
  "state": "relaxed",
  "raw_formation_energy_ev_per_atom": 0.5710,
  "final_energy_ev_per_atom": -3.606,
  "cell": [[5.503, 0.000, 0.000], [0.000, 5.503, 0.000], [0.000, 0.000, 3.563]],
  "species": ["I", "I", "Mg", "O", "Os"],
  "frac_coords": [[0.500, 0.000, 0.000], [0.000, 0.500, 0.000], [0.000, 0.000, 0.000], [0.000, 0.000, 0.500], [0.500, 0.500, 0.500]]
}

=====

3.
{
  "formula": "MgPI2O",
  "functional": "GGA-PBE",
  "state": "relaxed",
  "raw_formation_energy_ev_per_atom": -0.2716,
  "final_energy_ev_per_atom": -3.284,
  "cell": [[-4.245, -2.056, 3.316], [-2.285, -2.663, -4.576], [1.979, -2.930, 0.717]],
  "species": ["I", "I", "P", "Mg", "O"],
  "frac_coords": [[0.500, 0.000, 0.000], [0.000, 0.500, 0.000], [0.000, 0.000, 0.000], [0.500, 0.500, 0.500], [0.000, 0.000, 0.500]]
}

=====

Number 1: E above lowest polymorph 0 meV/atom. Number 2: E above lowest polymorph 678 meV/atom. Number 3: E above lowest polymorph 0 meV/atom.